(1)
VASP calculation (PBEsol) on a geometry-optimized Y3AuF structure.

a = 5.4738 Å, b = 5.4738 Å, c = 5.4738 Å
α = 90.00°, β = 90.00°, γ = 90.00°
Last column: nearest neighbours and their distance in Å.
Sites, in units of the cell vectors:
Y 0.0000 0.0000 0.5000  2 Au 2.74
Y 0.0000 0.5000 0.0000  2 Au 2.74
Y 0.5000 0.0000 0.0000  2 Au 2.74
Au 0.0000 0.0000 0.0000  6 Y 2.74
F 0.5000 0.5000 0.5000  12 Y 3.87

Properties
Space-group type   No. 221
Total DFT energy (no corrections)   -27.9 eV/cell
ΔE_f (raw)   -7.36 kcal/mol of atoms



(2)
VASP calculation (PBEsol) on a geometry-optimized Y2AuF2 structure.

a = 3.5725 Å, b = 3.5725 Å, c = 13.2899 Å
α = 90.00°, β = 90.00°, γ = 90.00°
Last column: nearest neighbours and their distance in Å.
Sites, in units of the cell vectors:
Y 0.0000 0.0000 0.1334  4 F 2.36
Y 0.0000 0.0000 0.8666  4 F 2.36
Y 0.5000 0.5000 0.3666  4 F 2.36
Y 0.5000 0.5000 0.6334  4 F 2.36
Au 0.0000 0.0000 0.5000  8 Y 3.09
Au 0.5000 0.5000 0.0000  8 Y 3.09
F 0.0000 0.5000 0.2500  4 Y 2.36, 4 F 2.53
F 0.0000 0.5000 0.7500  4 Y 2.36, 4 F 2.53
F 0.5000 0.0000 0.2500  4 Y 2.36, 4 F 2.53
F 0.5000 0.0000 0.7500  4 Y 2.36, 4 F 2.53

Properties
Space-group type   No. 139
Total DFT energy (no corrections)   -68.2 eV/cell
ΔE_f (raw)   -58.41 kcal/mol of atoms



(3)
VASP calculation (PBEsol) on a geometry-optimized Y2Au5F21 structure.

a = 9.0183 Å, b = 7.9245 Å, c = 14.7127 Å
α = 90.00°, β = 126.62°, γ = 90.00°
Last column: nearest neighbours and their distance in Å.
Sites, in units of the cell vectors:
Y 0.1863 0.1690 0.0021  8 F 2.13-2.37
Y 0.1863 0.8310 0.5021  8 F 2.13-2.37
Y 0.8137 0.1690 0.4979  8 F 2.13-2.37
Y 0.8137 0.8310 0.9979  8 F 2.13-2.37
Au 0.1255 0.3270 0.4026  4 F 1.91-1.96
Au 0.1255 0.6730 0.9026  4 F 1.91-1.96
Au 0.3069 0.0620 0.7932  4 F 1.93-1.94
Au 0.3069 0.9380 0.2932  4 F 1.93-1.94
Au 0.5000 0.4766 0.7500  4 F 1.91-1.95
Au 0.5000 0.5234 0.2500  4 F 1.91-1.95
Au 0.6931 0.0620 0.7068  4 F 1.93-1.94
Au 0.6931 0.9380 0.2068  4 F 1.93-1.94
Au 0.8745 0.3270 0.0974  4 F 1.91-1.96
Au 0.8745 0.6730 0.5974  4 F 1.91-1.96
F 0.0000 0.0000 0.0000  2 Y 2.13
F 0.0000 0.0000 0.5000  2 Y 2.13
F 0.0221 0.3263 0.0397  1 Au 1.96
F 0.0221 0.6737 0.5397  1 Au 1.96
F 0.0855 0.1811 0.6772  1 Au 1.93
F 0.0855 0.8189 0.1772  1 Au 1.93
F 0.1196 0.4301 0.9090  1 Au 1.93
F 0.1196 0.5699 0.4090  1 Au 1.93
F 0.1375 0.0828 0.3937  1 Au 1.95
F 0.1375 0.9172 0.8937  1 Au 1.95
F 0.2574 0.3377 0.3388  1 Au 1.91
F 0.2574 0.6623 0.8388  1 Au 1.91
F 0.3042 0.2059 0.8985  1 Au 1.94
F 0.3042 0.7941 0.3985  1 Au 1.94
F 0.3097 0.0851 0.1893  1 Au 1.93
F 0.3097 0.9149 0.6893  1 Au 1.93
F 0.4002 0.3544 0.1307  1 Au 1.95
F 0.4002 0.6456 0.6307  1 Au 1.95
F 0.4012 0.3040 0.6372  1 Au 1.91
F 0.4012 0.6960 0.1372  1 Au 1.91
F 0.4640 0.0381 0.0824  1 Au 1.93
F 0.4640 0.9619 0.5824  1 Au 1.93
F 0.5360 0.0381 0.4176  1 Au 1.93
F 0.5360 0.9619 0.9176  1 Au 1.93
F 0.5988 0.3040 0.8628  1 Au 1.91
F 0.5988 0.6960 0.3628  1 Au 1.91
F 0.5998 0.3544 0.3693  1 Au 1.95
F 0.5998 0.6456 0.8693  1 Au 1.95
F 0.6903 0.0851 0.3107  1 Au 1.93
F 0.6903 0.9149 0.8107  1 Au 1.93
F 0.6958 0.2059 0.6015  1 Au 1.94
F 0.6958 0.7941 0.1015  1 Au 1.94
F 0.7426 0.3377 0.1612  1 Au 1.91
F 0.7426 0.6623 0.6612  1 Au 1.91
F 0.8625 0.0828 0.1063  1 Au 1.95
F 0.8625 0.9172 0.6063  1 Au 1.95
F 0.8804 0.4301 0.5910  1 Au 1.93
F 0.8804 0.5699 0.0910  1 Au 1.93
F 0.9145 0.1811 0.8228  1 Au 1.93
F 0.9145 0.8189 0.3228  1 Au 1.93
F 0.9779 0.3263 0.4603  1 Au 1.96
F 0.9779 0.6737 0.9603  1 Au 1.96

Properties
Space-group type   No. 13
Total DFT energy (no corrections)   -254.6 eV/cell
ΔE_f (raw)   -44.12 kcal/mol of atoms



Which value of ΔE_f (raw) does entry 3 give?
-44.12 kcal/mol of atoms